LiRh3F | PBE | optimized geometry

abc: 4.2480 4.2480 4.2480
angles: 90.00 90.00 90.00
Space group Pm-3m (No. 221)
Symmetry-distinct sites (fractional):
Li 0.0000 0.0000 0.0000 [1 per cell]
Rh 0.0000 0.5000 0.5000 [3 per cell]
F 0.5000 0.5000 0.5000 [1 per cell]

Formation energy (no corrections), meV/atom: 569
Calculated volume, Å³/cell: 77



LiRh2F | PBE | optimized geometry

abc: 5.8961 5.8961 5.8961
angles: 90.00 90.00 90.00
Space group Fm-3m (No. 225)
Symmetry-distinct sites (fractional):
Li 0.0000 0.0000 0.0000 [4 per cell]
Rh 0.2500 0.2500 0.2500 [8 per cell]
F 0.0000 0.0000 0.5000 [4 per cell]

Formation energy (no corrections), meV/atom: 202
Calculated volume, Å³/cell: 205



LiRh2F | PBE | optimized geometry

abc: 8.2517 8.2517 3.6853
angles: 90.00 90.00 90.00
Space group I-42d (No. 122)
Symmetry-distinct sites (fractional):
Li 0.0000 0.0000 0.0000 [4 per cell]
Rh 0.1513 0.2500 0.6250 [8 per cell]
F 0.0000 0.0000 0.5000 [4 per cell]

Formation energy (no corrections), meV/atom: -70
Calculated volume, Å³/cell: 251



Li2Rh2F7 | PBE | optimized geometry

abc: 4.9273 10.0938 5.2932
angles: 90.00 96.19 90.00
Space group C2/m (No. 12)
Symmetry-distinct sites (fractional):
Li 0.0000 0.1783 0.0000 [4 per cell]
Rh 0.1128 0.5000 0.3054 [4 per cell]
F 0.0000 0.0000 0.5000 [2 per cell]
F 0.1540 0.3086 0.2490 [8 per cell]
F 0.2476 0.0000 0.0904 [4 per cell]

Formation energy (no corrections), meV/atom: -1843
Calculated volume, Å³/cell: 262



LiRhF6 | PBE | optimized geometry

abc: 5.0422 5.0422 9.3392
angles: 90.00 90.00 120.00
Space group P-31c (No. 163)
Symmetry-distinct sites (fractional):
Li 0.3333 0.6667 0.2500 [2 per cell]
Rh 0.0000 0.0000 0.0000 [2 per cell]
F 0.0249 0.3196 0.1183 [12 per cell]

Formation energy (no corrections), meV/atom: -1803
Calculated volume, Å³/cell: 206



LiSnRhF2 | PBE | optimized geometry

abc: 4.1582 4.1582 5.3385
angles: 90.00 90.00 90.00
Space group P4/mmm (No. 123)
Symmetry-distinct sites (fractional):
Li 0.0000 0.0000 0.0000 [1 per cell]
Sn 0.5000 0.5000 0.0000 [1 per cell]
Rh 0.5000 0.5000 0.5000 [1 per cell]
F 0.0000 0.5000 0.5000 [2 per cell]

Formation energy (no corrections), meV/atom: -786
Calculated volume, Å³/cell: 92



SrLi2RhF8 | PBE | optimized geometry

abc: 4.8027 4.9654 7.0939
angles: 84.03 84.86 82.81
Space group P-1 (No. 2)
Symmetry-distinct sites (fractional):
Sr 0.0000 0.0000 0.0000 [1 per cell]
Li 0.4650 0.4644 0.2112 [2 per cell]
Rh 0.0000 0.0000 0.5000 [1 per cell]
F 0.1983 0.7844 0.7085 [2 per cell]
F 0.2027 0.7866 0.2994 [2 per cell]
F 0.2754 0.2514 0.4624 [2 per cell]
F 0.3401 0.3113 0.9965 [2 per cell]

Formation energy (no corrections), meV/atom: -2563
Calculated volume, Å³/cell: 166



SrLiRhF6 | PBE | optimized geometry

abc: 5.3254 5.3254 5.2987
angles: 90.00 90.00 120.00
Space group P312 (No. 149)
Symmetry-distinct sites (fractional):
Sr 0.0000 0.0000 0.0000 [1 per cell]
Li 0.3333 0.6667 0.5000 [1 per cell]
Rh 0.6667 0.3333 0.5000 [1 per cell]
F 0.3643 0.0092 0.7123 [6 per cell]

Formation energy (no corrections), meV/atom: -2684
Calculated volume, Å³/cell: 130



LiTaRh2F | PBE | optimized geometry

abc: 4.8419 4.8419 4.0541
angles: 90.00 90.00 90.00
Space group P4/mmm (No. 123)
Symmetry-distinct sites (fractional):
Li 0.0000 0.0000 0.0000 [1 per cell]
Ta 0.5000 0.5000 0.5000 [1 per cell]
Rh 0.0000 0.5000 0.5000 [2 per cell]
F 0.5000 0.5000 0.0000 [1 per cell]

Formation energy (no corrections), meV/atom: -198
Calculated volume, Å³/cell: 95



Li2TeRhF | PBE | optimized geometry

abc: 5.1745 5.1745 4.3927
angles: 90.00 90.00 90.00
Space group P4/mmm (No. 123)
Symmetry-distinct sites (fractional):
Li 0.0000 0.5000 0.0000 [2 per cell]
Te 0.0000 0.0000 0.0000 [1 per cell]
Rh 0.5000 0.5000 0.5000 [1 per cell]
F 0.0000 0.0000 0.5000 [1 per cell]

Formation energy (no corrections), meV/atom: 5
Calculated volume, Å³/cell: 118



LiTl2Rh3F12 | PBE | optimized geometry

abc: 7.3403 7.3403 18.4069
angles: 90.00 90.00 120.00
Space group R-3m (No. 166, hexagonal axes)
Symmetry-distinct sites (fractional):
Li 0.0000 0.0000 0.0000 [3 per cell]
Tl 0.0000 0.0000 0.3494 [6 per cell]
Rh 0.0000 0.5000 0.5000 [9 per cell]
F 0.0572 0.5286 0.6067 [18 per cell]
F 0.0607 0.5304 0.8591 [18 per cell]

Formation energy (no corrections), meV/atom: -1774
Calculated volume, Å³/cell: 859



Li2TlRhF6 | PBE | optimized geometry

abc: 8.5669 10.6906 6.2198
angles: 90.00 90.15 90.00
Space group C2/c (No. 15)
Symmetry-distinct sites (fractional):
Li 0.1494 0.1013 0.3324 [8 per cell]
Tl 0.0000 0.4075 0.2500 [4 per cell]
Rh 0.0000 0.1926 0.7500 [4 per cell]
F 0.0539 0.1874 0.0642 [8 per cell]
F 0.1486 0.3306 0.6721 [8 per cell]
F 0.1554 0.0572 0.6719 [8 per cell]

Formation energy (no corrections), meV/atom: -2164
Calculated volume, Å³/cell: 570



LiTl2RhF6 | PBE | optimized geometry

abc: 6.0025 6.0025 29.9260
angles: 90.00 90.00 120.00
Space group R-3m (No. 166, hexagonal axes)
Symmetry-distinct sites (fractional):
Li 0.0000 0.0000 0.0000 [3 per cell]
Li 0.0000 0.0000 0.5000 [3 per cell]
Tl 0.0000 0.0000 0.1257 [6 per cell]
Tl 0.0000 0.0000 0.2904 [6 per cell]
Rh 0.0000 0.0000 0.4120 [6 per cell]
F 0.0095 0.5047 0.2927 [18 per cell]
F 0.0331 0.5165 0.1213 [18 per cell]

Formation energy (no corrections), meV/atom: -1961
Calculated volume, Å³/cell: 934



Li2ZnRhF6 | PBE | optimized geometry

abc: 5.1784 5.2998 5.5115
angles: 64.31 89.70 61.59
Space group P1 (No. 1)
Symmetry-distinct sites (fractional):
Li 0.0000 0.0000 0.0000 [1 per cell]
Li 0.4742 0.9949 0.4925 [1 per cell]
Zn 0.2700 0.4375 0.8697 [1 per cell]
Rh 0.7722 0.4271 0.3782 [1 per cell]
F 0.0313 0.5820 0.1426 [1 per cell]
F 0.1990 0.8927 0.6956 [1 per cell]
F 0.3382 0.9905 0.1501 [1 per cell]
F 0.5347 0.2521 0.6383 [1 per cell]
F 0.6810 0.2524 0.1392 [1 per cell]
F 0.8642 0.5739 0.6425 [1 per cell]

Formation energy (no corrections), meV/atom: -2170
Calculated volume, Å³/cell: 116



LiZnRhF6 | PBE | optimized geometry

abc: 4.7535 4.7535 9.4290
angles: 90.00 90.00 90.00
Space group P4_2nm (No. 102)
Symmetry-distinct sites (fractional):
Li 0.0000 0.0000 0.0000 [2 per cell]
Zn 0.0000 0.0000 0.6697 [2 per cell]
Rh 0.0000 0.0000 0.3333 [2 per cell]
F 0.1928 0.1928 0.4971 [4 per cell]
F 0.1938 0.1938 0.1696 [4 per cell]
F 0.2001 0.2001 0.8346 [4 per cell]

Formation energy (no corrections), meV/atom: -2126
Calculated volume, Å³/cell: 213



LiRu2F | PBE | optimized geometry

abc: 7.6789 7.6789 4.0085
angles: 90.00 90.00 90.00
Space group I-42d (No. 122)
Symmetry-distinct sites (fractional):
Li 0.0000 0.0000 0.0000 [4 per cell]
Ru 0.1769 0.2500 0.6250 [8 per cell]
F 0.0000 0.0000 0.5000 [4 per cell]

Formation energy (no corrections), meV/atom: 162
Calculated volume, Å³/cell: 236



Li6RuF12 | PBE | optimized geometry

abc: 9.0098 9.0098 8.9238
angles: 90.00 90.00 120.00
Space group R-3 (No. 148, hexagonal axes)
Symmetry-distinct sites (fractional):
Li 0.0021 0.2239 0.3884 [18 per cell]
Ru 0.0000 0.0000 0.0000 [3 per cell]
F 0.0011 0.2117 0.6145 [18 per cell]
F 0.0056 0.8330 0.8780 [18 per cell]

Formation energy (no corrections), meV/atom: -2372
Calculated volume, Å³/cell: 627



Li3RuF6 | PBE | optimized geometry

abc: 8.6896 8.6896 10.3179
angles: 90.00 90.00 120.00
Space group R-3 (No. 148, hexagonal axes)
Symmetry-distinct sites (fractional):
Li 0.0378 0.7740 0.2101 [18 per cell]
Ru 0.0000 0.0000 0.0000 [3 per cell]
Ru 0.0000 0.0000 0.5000 [3 per cell]
F 0.0190 0.8131 0.3964 [18 per cell]
F 0.0195 0.8323 0.8740 [18 per cell]

Formation energy (no corrections), meV/atom: -2382
Calculated volume, Å³/cell: 675



LiRuF5 | PBE | optimized geometry

abc: 8.3553 6.7568 7.6560
angles: 90.00 117.37 90.00
Space group C2/c (No. 15)
Symmetry-distinct sites (fractional):
Li 0.0000 0.0483 0.2500 [4 per cell]
Ru 0.0000 0.5000 0.0000 [4 per cell]
F 0.0000 0.4163 0.7500 [4 per cell]
F 0.0347 0.2231 0.4616 [8 per cell]
F 0.2448 0.0438 0.8605 [8 per cell]

Formation energy (no corrections), meV/atom: -2068
Calculated volume, Å³/cell: 384



Li3RuF | PBE | optimized geometry

abc: 4.9490 4.9490 4.9490
angles: 90.00 90.00 90.00
Space group Pm-3m (No. 221)
Symmetry-distinct sites (fractional):
Li 0.0000 0.0000 0.5000 [3 per cell]
Ru 0.0000 0.0000 0.0000 [1 per cell]
F 0.5000 0.5000 0.5000 [1 per cell]

Formation energy (no corrections), meV/atom: 351
Calculated volume, Å³/cell: 121



LiRuF3 | PBE | optimized geometry

abc: 3.7439 3.7439 3.7439
angles: 90.00 90.00 90.00
Space group Pm-3m (No. 221)
Symmetry-distinct sites (fractional):
Li 0.0000 0.0000 0.0000 [1 per cell]
Ru 0.5000 0.5000 0.5000 [1 per cell]
F 0.0000 0.0000 0.5000 [3 per cell]

Formation energy (no corrections), meV/atom: -1431
Calculated volume, Å³/cell: 52